Entry 1:
Compound: LaCdBi
Source: Alexandria via LeMat-Bulk
Functional: PBE
Structure: optimized geometry

a = 4.533 Å, b = 4.895 Å, c = 4.895 Å
α = 120.00°, β = 90.00°, γ = 90.00°
Element x y z (fractional)
La  0.697  0.667  0.333
Cd  0.030  0.000  0.000
Bi  0.273  0.333  0.667

Calculated values
ΔE to the lowest computed polymorph: 0 meV/atom
symmetry: No. 156

=====

Entry 2:
Compound: Cu2TcBr
Source: Alexandria via LeMat-Bulk
Functional: PBE
Structure: optimized geometry

a = 2.869 Å, b = 2.869 Å, c = 8.838 Å
α = 90.00°, β = 90.00°, γ = 118.52°
Last column: magnetic moment on the atom in μB.
Element x y z (fractional)
Cu  0.500  0.500  0.248  0.02
Cu  0.000  0.000  0.028  0.00
Br  0.500  0.500  0.736  0.00
Tc  0.000  0.000  0.488  0.43

Calculated values
raw formation energy: 700 meV/atom
ΔE to the lowest computed polymorph: 187 meV/atom
symmetry: No. 35

=====

Entry 3:
Compound: Tb3Pm5Tm2
Source: Alexandria via LeMat-Bulk
Functional: PBE
Structure: optimized geometry

a = 9.934 Å, b = 9.936 Å, c = 11.227 Å
α = 128.97°, β = 128.97°, γ = 65.08°
Element x y z (fractional)
Pm  0.481  0.731  0.461
Pm  0.519  0.269  0.539
Pm  0.022  0.772  0.545
Pm  0.374  0.121  0.759
Pm  0.978  0.228  0.455
Pm  0.272  0.522  0.044
Pm  0.728  0.478  0.956
Pm  0.115  0.361  0.241
Pm  0.885  0.639  0.759
Pm  0.626  0.879  0.241
Tm  0.222  0.966  0.244
Tm  0.478  0.722  0.756
Tm  0.778  0.034  0.756
Tm  0.522  0.278  0.244
Tb  0.226  0.976  0.952
Tb  0.969  0.225  0.749
Tb  0.720  0.476  0.251
Tb  0.280  0.524  0.749
Tb  0.774  0.024  0.048
Tb  0.031  0.775  0.251

Calculated values
calculated total energy: -4.48 eV per atom
symmetry: No. 15

=====

Entry 4:
Compound: SrBe2Re
Source: Alexandria via LeMat-Bulk
Functional: PBE
Structure: optimized geometry

a = 5.280 Å, b = 5.280 Å, c = 5.280 Å
α = 137.63°, β = 137.63°, γ = 61.47°
Element x y z (fractional)
Be  0.000  0.000  0.000
Be  0.250  0.750  0.500
Sr  0.750  0.250  0.500
Re  0.500  0.500  0.000

Calculated values
ΔE to the lowest computed polymorph: 833 meV/atom
symmetry: No. 119

=====

Total magnetic moment / μB/cell: 0.00 0.49 0.00 0.00